(1)
VASP calculation (PBE) on a relaxed structure of CePr4Si4.

Summary:
DFT total energy (eV per atom): -5.6038
E_form (uncorrected) (eV per atom): -0.410
N(E_F) (states/eV/atom): 1.4018

Cell lengths 9.116, 9.116, 6.048 Å; angles 90.00, 90.00, 90.00 degrees
Fractional coordinates of all 18 atoms:
Ce: 0.250 0.250 0.250
Ce: 0.750 0.750 0.750
Pr: 0.049 0.674 0.115
Pr: 0.174 0.951 0.615
Pr: 0.326 0.549 0.615
Pr: 0.451 0.826 0.115
Pr: 0.549 0.174 0.885
Pr: 0.674 0.451 0.385
Pr: 0.826 0.049 0.385
Pr: 0.951 0.326 0.885
Si: 0.010 0.616 0.604
Si: 0.116 0.990 0.104
Si: 0.384 0.510 0.104
Si: 0.490 0.884 0.604
Si: 0.510 0.116 0.396
Si: 0.616 0.490 0.896
Si: 0.884 0.010 0.896
Si: 0.990 0.384 0.396


(2)
VASP calculation (PBE) on a relaxed structure of CePr2Si2.

Summary:
DFT total energy (eV per atom): -5.6386
E_form (uncorrected) (eV per atom): -0.371
Relative energy among the computed polymorphs (eV per atom): 0.1582
N(E_F) (states/eV/atom): 1.0083

Cell lengths 9.226, 9.226, 5.135 Å; angles 90.00, 90.00, 141.63 degrees
Fractional coordinates of all 10 atoms:
Ce: 0.000 0.000 0.000
Ce: 0.000 0.000 0.500
Pr: 0.219 0.781 0.750
Pr: 0.405 0.595 0.250
Pr: 0.595 0.405 0.750
Pr: 0.781 0.219 0.250
Si: 0.064 0.345 0.750
Si: 0.345 0.064 0.250
Si: 0.655 0.936 0.750
Si: 0.936 0.655 0.250


(3)
VASP calculation (PBE) on a relaxed structure of CePr2Si.

Summary:
DFT total energy (eV per atom): -5.1291
E_form (uncorrected) (eV per atom): 0.100
Relative energy among the computed polymorphs (eV per atom): 0.3362
N(E_F) (states/eV/atom): 2.1149

Cell lengths 11.096, 11.096, 11.096 Å; angles 19.32, 19.32, 19.32 degrees
Fractional coordinates of all 4 atoms:
Ce: 0.000 0.000 0.000
Pr: 0.106 0.106 0.106
Pr: 0.894 0.894 0.894
Si: 0.500 0.500 0.500


(4)
VASP calculation (PBE) on a relaxed structure of Ce2Pr3Si4.

Summary:
DFT total energy (eV per atom): -5.9198
E_form (uncorrected) (eV per atom): -0.598
N(E_F) (states/eV/atom): 1.9603

Cell lengths 7.911, 7.954, 7.781 Å; angles 90.00, 104.73, 90.00 degrees
Fractional coordinates of all 18 atoms:
Ce: 0.206 0.186 0.099
Ce: 0.206 0.314 0.599
Ce: 0.794 0.686 0.401
Ce: 0.794 0.814 0.901
Pr: 0.238 0.683 0.255
Pr: 0.238 0.817 0.755
Pr: 0.500 0.000 0.500
Pr: 0.500 0.500 0.000
Pr: 0.762 0.183 0.245
Pr: 0.762 0.317 0.745
Si: 0.084 0.519 0.890
Si: 0.084 0.981 0.390
Si: 0.491 0.113 0.887
Si: 0.491 0.387 0.387
Si: 0.509 0.613 0.613
Si: 0.509 0.887 0.113
Si: 0.916 0.019 0.610
Si: 0.916 0.481 0.110


(5)
VASP calculation (PBE) on a relaxed structure of CePr2Si6.

Summary:
DFT total energy (eV per atom): -5.9445
E_form (uncorrected) (eV per atom): -0.608
N(E_F) (states/eV/atom): 0.7497

Cell lengths 7.128, 7.128, 4.205 Å; angles 90.00, 90.00, 120.00 degrees
Fractional coordinates of all 9 atoms:
Ce: 0.000 0.000 0.000
Pr: 0.333 0.667 0.000
Pr: 0.667 0.333 0.000
Si: 0.000 0.332 0.500
Si: 0.000 0.668 0.500
Si: 0.332 0.000 0.500
Si: 0.332 0.332 0.500
Si: 0.668 0.000 0.500
Si: 0.668 0.668 0.500


(6)
VASP calculation (PBE) on a relaxed structure of CePr2Si.

Summary:
DFT total energy (eV per atom): -5.4653
E_form (uncorrected) (eV per atom): -0.236
Relative energy among the computed polymorphs (eV per atom): 0.0000
N(E_F) (states/eV/atom): 1.5974

Cell lengths 4.829, 4.829, 4.583 Å; angles 90.00, 90.00, 90.00 degrees
Fractional coordinates of all 4 atoms:
Ce: 0.000 0.000 0.000
Pr: 0.000 0.500 0.500
Pr: 0.500 0.000 0.500
Si: 0.500 0.500 0.000


(7)
VASP calculation (PBE) on a relaxed structure of CePr2Si2.

Summary:
DFT total energy (eV per atom): -5.7969
E_form (uncorrected) (eV per atom): -0.529
Relative energy among the computed polymorphs (eV per atom): 0.0000
N(E_F) (states/eV/atom): 1.3165

Cell lengths 6.448, 6.448, 10.913 Å; angles 115.05, 115.05, 39.95 degrees
Fractional coordinates of all 10 atoms:
Ce: 0.214 0.214 0.365
Ce: 0.786 0.786 0.635
Pr: 0.314 0.314 0.901
Pr: 0.492 0.492 0.316
Pr: 0.508 0.508 0.684
Pr: 0.686 0.686 0.099
Si: 0.024 0.024 0.903
Si: 0.111 0.111 0.566
Si: 0.889 0.889 0.434
Si: 0.976 0.976 0.097


(8)
VASP calculation (PBE) on a relaxed structure of Ce2PrSi6.

Summary:
DFT total energy (eV per atom): -6.1013
E_form (uncorrected) (eV per atom): -0.636
N(E_F) (states/eV/atom): 0.8572

Cell lengths 7.080, 7.080, 4.170 Å; angles 90.00, 90.00, 120.00 degrees
Fractional coordinates of all 9 atoms:
Ce: 0.333 0.667 0.000
Ce: 0.667 0.333 0.000
Pr: 0.000 0.000 0.000
Si: 0.000 0.335 0.500
Si: 0.000 0.665 0.500
Si: 0.335 0.000 0.500
Si: 0.335 0.335 0.500
Si: 0.665 0.000 0.500
Si: 0.665 0.665 0.500